A.
The following is a DFT calculation (PBE) of La5Cl after structural relaxation.

The structure belongs to space group Amm2 (No. 38); the cell edges are 5.809, 3.679 and 18.700 Å and the angles 90.00°, 90.00° and 90.00°. Symmetry generates all atoms from La at (0.000, 0.000, 0.000), La at (0.000, 0.000, 0.308), La at (0.500, 0.000, 0.178), La at (0.500, 0.000, 0.523), La at (0.500, 0.000, 0.858) and Cl at (0.000, 0.000, 0.635).

For the density of states at the Fermi level, the calculation gives 1.36 states/eV per atom.



B.
The following is a DFT calculation (PBE) of La5Cl after structural relaxation.

The structure belongs to space group P6/mmm (No. 191); the cell edges are 6.5235, 6.5235 and 6.1636 Å and the angles 90.00°, 90.00° and 120.00°. Symmetry generates all atoms from La at (0.0000, 0.5000, 0.0000), La at (0.3333, 0.6667, 0.5000) and Cl at (0.0000, 0.0000, 0.5000).

For the density of states at the Fermi level, the calculation gives 1.95 states/eV per atom.



C.
The following is a DFT calculation (PBE) of La5Cl after structural relaxation.

The structure belongs to space group F-43m (No. 216); the cell edges are 9.523, 9.523 and 9.523 Å and the angles 90.00°, 90.00° and 90.00°. Symmetry generates all atoms from La at (0.000, 0.000, 0.000), La at (0.131, 0.131, 0.631) and Cl at (0.250, 0.250, 0.250).

For the density of states at the Fermi level, the calculation gives 1.68 states/eV per atom.



The least stable of them is B.



A.
The following is a DFT calculation (PBE) of La3Cl after structural relaxation.

The structure belongs to space group R-3m (No. 166, hexagonal axes); the cell edges are 10.1824, 10.1824 and 4.1942 Å and the angles 90.00°, 90.00° and 120.00°. Symmetry generates all atoms from La at (0.0000, 0.5000, 0.0000) and Cl at (0.0000, 0.0000, 0.0000).

For the density of states at the Fermi level, the calculation gives 1.26 states/eV per atom.



B.
The following is a DFT calculation (PBE) of La3Cl after structural relaxation.

The structure belongs to space group R-3m (No. 166, hexagonal axes); the cell edges are 3.7971, 3.7971 and 31.1615 Å and the angles 90.00°, 90.00° and 120.00°. Symmetry generates all atoms from La at (0.0000, 0.0000, 0.0000), La at (0.0000, 0.0000, 0.2386) and Cl at (0.0000, 0.0000, 0.5000).

For the density of states at the Fermi level, the calculation gives 0.73 states/eV per atom.



C.
The following is a DFT calculation (PBE) of La3Cl after structural relaxation.

The structure belongs to space group P4/mmm (No. 123); the cell edges are 5.928, 5.928 and 3.565 Å and the angles 90.00°, 90.00° and 90.00°. Symmetry generates all atoms from La at (0.000, 0.000, 0.000), La at (0.000, 0.500, 0.500) and Cl at (0.500, 0.500, 0.000).

For the density of states at the Fermi level, the calculation gives 1.09 states/eV per atom.



D.
The following is a DFT calculation (PBE) of La3Cl after structural relaxation.

The structure belongs to space group Cmcm (No. 63); the cell edges are 11.476, 12.455 and 3.642 Å and the angles 90.00°, 90.00° and 90.00°. Symmetry generates all atoms from La at (0.000, 0.148, 0.250), La at (0.219, 0.379, 0.250) and Cl at (0.000, 0.369, 0.750).

For the density of states at the Fermi level, the calculation gives 1.18 states/eV per atom.



The least stable of them is A.